Entry 1:
# PBE YTmGePd, relaxed
data_YTmGePd
_chemical_formula_sum 'Y4 Tm4 Ge4 Pd4'
_cell_length_a 7.049
_cell_length_b 7.049
_cell_length_c 7.049
_cell_angle_alpha 90.00
_cell_angle_beta 90.00
_cell_angle_gamma 90.00
_space_group_name_H-M_alt 'F -4 3 m'
_space_group_IT_number 216
_space_group_name_Hall 'F -4 2 3'
loop_
_atom_site_label
_atom_site_type_symbol
_atom_site_fract_x
_atom_site_fract_y
_atom_site_fract_z
_atom_site_occupancy
Y1 Y 0.000 0.000 0.000 1
Tm1 Tm 0.000 0.000 0.500 1
Ge1 Ge 0.250 0.250 0.250 1
Pd1 Pd 0.250 0.250 0.750 1
# - formation energy from the elements (meV/atom) = -822
# - energy (hartree per atom) = -0.2208
# - energy above the most stable polymorph in this dataset (eV/atom) = 0.078

Entry 2:
# PBE UGe3Pd5, relaxed
data_UGe3Pd5
_chemical_formula_sum 'U4 Ge12 Pd20'
_cell_length_a 2.997
_cell_length_b 13.810
_cell_length_c 14.739
_cell_angle_alpha 90.00
_cell_angle_beta 90.00
_cell_angle_gamma 90.00
_space_group_name_H-M_alt 'C m c m'
_space_group_IT_number 63
_space_group_name_Hall '-C 2c 2'
loop_
_atom_site_label
_atom_site_type_symbol
_atom_site_fract_x
_atom_site_fract_y
_atom_site_fract_z
_atom_site_occupancy
U1 U 0.000 0.153 0.250 1
Ge1 Ge 0.000 0.149 0.750 1
Ge2 Ge 0.000 0.367 0.564 1
Pd1 Pd 0.000 0.000 0.000 1
Pd2 Pd 0.000 0.191 0.575 1
Pd3 Pd 0.000 0.472 0.159 1
# - formation energy from the elements (meV/atom) = -390
# - energy (hartree per atom) = -0.2230

Entry 3:
# PBE UGePd6, relaxed
data_UGePd6
_chemical_formula_sum 'U2 Ge2 Pd12'
_cell_length_a 7.683
_cell_length_b 8.355
_cell_length_c 4.122
_cell_angle_alpha 90.00
_cell_angle_beta 90.00
_cell_angle_gamma 90.00
_space_group_name_H-M_alt 'C m m m'
_space_group_IT_number 65
_space_group_name_Hall '-C 2 2'
loop_
_atom_site_label
_atom_site_type_symbol
_atom_site_fract_x
_atom_site_fract_y
_atom_site_fract_z
_atom_site_occupancy
U1 U 0.000 0.000 0.000 1
Ge1 Ge 0.000 0.500 0.000 1
Pd1 Pd 0.000 0.223 0.500 1
Pd2 Pd 0.216 0.500 0.500 1
Pd3 Pd 0.250 0.250 0.000 1
# - formation energy from the elements (meV/atom) = -427
# - energy (hartree per atom) = -0.2319

Entry 4:
# PBE U2GePd9, relaxed
data_U2GePd9
_chemical_formula_sum 'U2 Ge1 Pd9'
_cell_length_a 4.107
_cell_length_b 4.107
_cell_length_c 12.066
_cell_angle_alpha 90.00
_cell_angle_beta 90.00
_cell_angle_gamma 90.00
_space_group_name_H-M_alt 'P 4/m m m'
_space_group_IT_number 123
_space_group_name_Hall '-P 4 2'
loop_
_atom_site_label
_atom_site_type_symbol
_atom_site_fract_x
_atom_site_fract_y
_atom_site_fract_z
_atom_site_occupancy
U1 U 0.000 0.000 0.174 1
Ge1 Ge 0.000 0.000 0.500 1
Pd1 Pd 0.000 0.500 0.000 1
Pd2 Pd 0.000 0.500 0.342 1
Pd3 Pd 0.500 0.500 0.172 1
Pd4 Pd 0.500 0.500 0.500 1
# - formation energy from the elements (meV/atom) = -459
# - energy (hartree per atom) = -0.2433

Entry 5:
# PBE UGe2Pd4, relaxed
data_UGe2Pd4
_chemical_formula_sum 'U2 Ge4 Pd8'
_cell_length_a 8.555
_cell_length_b 3.996
_cell_length_c 7.270
_cell_angle_alpha 90.00
_cell_angle_beta 99.95
_cell_angle_gamma 90.00
_space_group_name_H-M_alt 'C 1 2/m 1'
_space_group_IT_number 12
_space_group_name_Hall '-C 2y'
loop_
_atom_site_label
_atom_site_type_symbol
_atom_site_fract_x
_atom_site_fract_y
_atom_site_fract_z
_atom_site_occupancy
U1 U 0.000 0.000 0.000 1
Ge1 Ge 0.222 0.500 0.227 1
Pd1 Pd 0.080 0.500 0.717 1
Pd2 Pd 0.136 0.000 0.422 1
# - formation energy from the elements (meV/atom) = -400
# - energy (hartree per atom) = -0.2315

Entry 6:
# PBE UGePd3, relaxed
data_UGePd3
_chemical_formula_sum 'U4 Ge4 Pd12'
_cell_length_a 7.472
_cell_length_b 6.750
_cell_length_c 8.784
_cell_angle_alpha 90.00
_cell_angle_beta 122.94
_cell_angle_gamma 90.00
_space_group_name_H-M_alt 'P 1 21/c 1'
_space_group_IT_number 14
_space_group_name_Hall '-P 2ybc'
loop_
_atom_site_label
_atom_site_type_symbol
_atom_site_fract_x
_atom_site_fract_y
_atom_site_fract_z
_atom_site_occupancy
U1 U 0.149 0.248 0.109 1
Ge1 Ge 0.271 0.553 0.920 1
Pd1 Pd 0.121 0.583 0.271 1
Pd2 Pd 0.298 0.648 0.642 1
Pd3 Pd 0.438 0.193 0.006 1
# - formation energy from the elements (meV/atom) = -325
# - energy (hartree per atom) = -0.2434

Entry 7:
# PBE U2Ge3Pd5, relaxed
data_U2Ge3Pd5
_chemical_formula_sum 'U8 Ge12 Pd20'
_cell_length_a 4.407
_cell_length_b 24.030
_cell_length_c 6.773
_cell_angle_alpha 90.00
_cell_angle_beta 90.00
_cell_angle_gamma 90.00
_space_group_name_H-M_alt 'C m c 21'
_space_group_IT_number 36
_space_group_name_Hall 'C 2c -2'
loop_
_atom_site_label
_atom_site_type_symbol
_atom_site_fract_x
_atom_site_fract_y
_atom_site_fract_z
_atom_site_occupancy
U1 U 0.000 0.014 0.000 1
U2 U 0.000 0.329 0.020 1
Ge1 Ge 0.000 0.106 0.701 1
Ge2 Ge 0.000 0.278 0.596 1
Ge3 Ge 0.000 0.445 0.798 1
Pd1 Pd 0.000 0.111 0.283 1
Pd2 Pd 0.000 0.200 0.874 1
Pd3 Pd 0.000 0.228 0.282 1
Pd4 Pd 0.000 0.378 0.499 1
Pd5 Pd 0.000 0.451 0.188 1
# - formation energy from the elements (meV/atom) = -463
# - energy (hartree per atom) = -0.2463

Entry 8:
# PBE UGe4Pd6, relaxed
data_UGe4Pd6
_chemical_formula_sum 'U1 Ge4 Pd6'
_cell_length_a 7.4134
_cell_length_b 7.4134
_cell_length_c 3.8892
_cell_angle_alpha 90.00
_cell_angle_beta 90.00
_cell_angle_gamma 120.00
_space_group_name_H-M_alt 'P -6 m 2'
_space_group_IT_number 187
_space_group_name_Hall 'P -6 2'
loop_
_atom_site_label
_atom_site_type_symbol
_atom_site_fract_x
_atom_site_fract_y
_atom_site_fract_z
_atom_site_occupancy
U1 U 0.0000 0.0000 0.0000 1
Ge1 Ge 0.1895 0.3789 0.5000 1
Ge2 Ge 0.6667 0.3333 0.0000 1
Pd1 Pd 0.0712 0.5356 0.0000 1
Pd2 Pd 0.3981 0.1990 0.5000 1
# - formation energy from the elements (meV/atom) = -493
# - energy (hartree per atom) = -0.2216

Q: What is the formation energy from the elements in the fifth record?
A: -400 meV/atom